No. 1
Below is crystalline Ba3Cd2BiO6 at its relaxed geometry, with properties calculated at the PBE-GGA level.

Cell: 6.2141 6.2141 7.1856 Å, 90.00 90.00 120.00°
With the nearest neighbours (Å) after each atom.
Sites, in units of the cell vectors:
Ba  0.3333  0.6667  0.6181  9 O 2.81-3.14
Ba  0.6667  0.3333  0.3819  9 O 2.81-3.14
Ba  0.0000  0.0000  0.0000  6 O 2.90
Cd  0.6667  0.3333  0.8691  3 O 2.29
Cd  0.3333  0.6667  0.1309  3 O 2.29
Bi  0.0000  0.0000  0.5000  6 O 2.18
O  0.6738  0.8369  0.3212  1 Bi 2.18, 1 Cd 2.29
O  0.1631  0.3262  0.3212  1 Bi 2.18, 1 Cd 2.29
O  0.1631  0.8369  0.3212  1 Bi 2.18, 1 Cd 2.29
O  0.8369  0.6738  0.6788  1 Bi 2.18, 1 Cd 2.29
O  0.3262  0.1631  0.6788  1 Bi 2.18, 1 Cd 2.29
O  0.8369  0.1631  0.6788  1 Bi 2.18, 1 Cd 2.29


No. 2
Below is crystalline Ba2CdBiO at its relaxed geometry, with properties calculated at the PBE-GGA level.

Relative energy among the computed polymorphs ... 0.0 meV/atom

Cell: 4.8540 6.8820 11.0040 Å, 109.02 90.00 90.00°
With the nearest neighbours (Å) after each atom.
Sites, in units of the cell vectors:
Ba  0.7500  0.7742  0.5574  3 Cd 3.57-3.66, 4 Bi 3.61-3.88
Ba  0.7500  0.7992  0.0380  3 O 2.54-2.64
Ba  0.2500  0.2258  0.4426  3 Cd 3.57-3.66, 4 Bi 3.61-3.88
Ba  0.2500  0.2008  0.9620  3 O 2.54-2.64
Cd  0.2500  0.6095  0.7527  1 O 2.19
Cd  0.7500  0.3905  0.2473  1 O 2.19
Bi  0.2500  0.6731  0.3010  2 Cd 3.05
Bi  0.7500  0.3269  0.6990  2 Cd 3.05
O  0.2500  0.8254  0.9492  1 Cd 2.19
O  0.7500  0.1746  0.0508  1 Cd 2.19


No. 3
Below is crystalline Ba3CdBi2O9 at its relaxed geometry, with properties calculated at the PBE-GGA level.

Cell: 6.1469 6.1469 7.5678 Å, 90.00 90.00 120.00°
With the nearest neighbours (Å) after each atom.
Sites, in units of the cell vectors:
Ba  0.3333  0.6667  0.6572  12 O 3.06-3.14
Ba  0.0000  0.0000  0.0000  12 O 3.06-3.07
Ba  0.6667  0.3333  0.3428  12 O 3.06-3.14
Cd  0.0000  0.0000  0.5000  6 O 2.24
Bi  0.3333  0.6667  0.1701  6 O 2.10-2.19
Bi  0.6667  0.3333  0.8299  6 O 2.10-2.19
O  0.8298  0.1702  0.6749  1 Bi 2.10, 1 Cd 2.24
O  0.8298  0.6597  0.6749  1 Bi 2.10, 1 Cd 2.24
O  0.3403  0.1702  0.6749  1 Bi 2.10, 1 Cd 2.24
O  0.6597  0.8298  0.3251  1 Bi 2.10, 1 Cd 2.24
O  0.1702  0.3403  0.3251  1 Bi 2.10, 1 Cd 2.24
O  0.1702  0.8298  0.3251  1 Bi 2.10, 1 Cd 2.24
O  0.5000  0.0000  0.0000  2 Bi 2.19
O  0.0000  0.5000  0.0000  2 Bi 2.19
O  0.5000  0.5000  0.0000  2 Bi 2.19


Number 1: formation energy (no corrections) -1.63 eV/atom, electronic total energy -60.76 eV per cell. Number 2: formation energy (no corrections) -1.20 eV/atom, electronic total energy -39.23 eV per cell. Number 3: formation energy (no corrections) -1.70 eV/atom, electronic total energy -84.62 eV per cell.